Entry 1:
The following is a DFT calculation (PBEsol) of AlP2Au after structural relaxation.

Summary:
The formation energy comes out at -0.7 eV per formula unit.

Cell lengths 3.162, 3.162, 6.817 Å; angles 90.00, 90.00, 90.00 degrees
Space group P4mm (No. 99)
One atom of each set of equivalent atoms:
Al 0.000 0.000 0.000 [1 per cell]
P 0.000 0.000 0.649 [1 per cell]
P 0.500 0.500 0.546 [1 per cell]
Au 0.500 0.500 0.187 [1 per cell]

=====

Entry 2:
The following is a DFT calculation (PBEsol) of Tc2RuPt after structural relaxation.

Summary:
The formation energy comes out at -0.3 eV per formula unit. The calculation puts the energy above the most stable polymorph in this dataset at 34 kJ/mol of formula units.

Cell lengths 3.802, 3.802, 7.708 Å; angles 90.00, 90.00, 90.00 degrees
Space group I4/mmm (No. 139)
One atom of each set of equivalent atoms:
Tc 0.000 0.500 0.250 [4 per cell]
Ru 0.000 0.000 0.000 [2 per cell]
Pt 0.000 0.000 0.500 [2 per cell]

=====

Entry 3:
The following is a DFT calculation (PBEsol) of FeRuPt2 after structural relaxation.

Summary:
The formation energy comes out at -0.1 eV per formula unit.

Cell lengths 3.823, 3.823, 7.495 Å; angles 90.00, 90.00, 90.00 degrees
Space group I-4m2 (No. 119)
One atom of each set of equivalent atoms:
Fe 0.000 0.000 0.000 [2 per cell]
Ru 0.000 0.500 0.250 [2 per cell]
Pt 0.000 0.000 0.500 [2 per cell]
Pt 0.000 0.500 0.750 [2 per cell]

=====

Entry 4:
The following is a DFT calculation (PBEsol) of CeHfO4 after structural relaxation.

Summary:
As for the formation energy (no corrections): -3.41 eV per atom.

Cell lengths 5.918, 4.997, 5.931 Å; angles 90.00, 109.62, 90.00 degrees
Space group P2_1/c (No. 14)
One atom of each set of equivalent atoms:
Ce 0.000 0.000 0.000 [2 per cell]
Hf 0.500 0.000 0.500 [2 per cell]
O 0.165 0.170 0.367 [4 per cell]
O 0.364 0.708 0.677 [4 per cell]

=====

Entry 5:
The following is a DFT calculation (PBEsol) of CuNi2Rh after structural relaxation.

Summary:
The formation energy comes out at 0.3 eV per formula unit.

Cell lengths 3.572, 3.572, 7.200 Å; angles 90.00, 90.00, 90.00 degrees
Space group I-4m2 (No. 119)
One atom of each set of equivalent atoms:
Cu 0.000 0.000 0.000 [2 per cell]
Ni 0.000 0.000 0.500 [2 per cell]
Ni 0.000 0.500 0.250 [2 per cell]
Rh 0.000 0.500 0.750 [2 per cell]

=====

Entry 6:
The following is a DFT calculation (PBEsol) of CdTe after structural relaxation.

Summary:
As for the formation energy (no corrections): -0.38 eV per atom.

Cell lengths 4.5803, 4.5803, 7.5104 Å; angles 90.00, 90.00, 120.00 degrees
Space group P6_3mc (No. 186)
One atom of each set of equivalent atoms:
Cd 0.3333 0.6667 0.0000 [2 per cell]
Te 0.3333 0.6667 0.6255 [2 per cell]

=====

Entry 7:
The following is a DFT calculation (PBEsol) of Na4Er2Ir3O12 after structural relaxation.

Summary:
As for the formation energy (no corrections): -1.74 eV per atom.

Cell lengths 9.3033, 9.3033, 3.1575 Å; angles 90.00, 90.00, 120.00 degrees
Space group P-62m (No. 189)
One atom of each set of equivalent atoms:
Na 0.0000 0.0000 0.0000 [1 per cell]
Na 0.0000 0.7002 0.5000 [3 per cell]
Er 0.3333 0.6667 0.5000 [2 per cell]
Ir 0.0000 0.3326 0.0000 [3 per cell]
O 0.0000 0.1983 0.5000 [3 per cell]
O 0.0000 0.4605 0.5000 [3 per cell]
O 0.2181 0.7548 0.0000 [6 per cell]

=====

Entry 8:
The following is a DFT calculation (PBEsol) of Tl2SiS after structural relaxation.

Summary:
As for the formation energy (no corrections): 0.38 eV per atom.

Cell lengths 7.091, 7.091, 7.091 Å; angles 90.00, 90.00, 90.00 degrees
Space group Fm-3m (No. 225)
One atom of each set of equivalent atoms:
Tl 0.250 0.250 0.250 [8 per cell]
Si 0.000 0.000 0.000 [4 per cell]
S 0.000 0.000 0.500 [4 per cell]

=====

Entry 9:
The following is a DFT calculation (PBEsol) of Ta3Au after structural relaxation.

Summary:
The formation energy comes out at -0.3 eV per formula unit. The calculation puts the energy above the most stable polymorph in this dataset at 0 kJ/mol of formula units.

Cell lengths 5.173, 5.173, 5.173 Å; angles 90.00, 90.00, 90.00 degrees
Space group Pm-3n (No. 223)
One atom of each set of equivalent atoms:
Ta 0.000 0.250 0.500 [6 per cell]
Au 0.000 0.000 0.000 [2 per cell]

=====

Entry 10:
The following is a DFT calculation (PBEsol) of RbSb2Pb2 after structural relaxation.

Summary:
As for the formation energy (no corrections): -0.10 eV per atom.

Cell lengths 5.555, 5.555, 11.791 Å; angles 90.00, 90.00, 90.00 degrees
Space group I4/mmm (No. 139)
One atom of each set of equivalent atoms:
Rb 0.000 0.000 0.000 [2 per cell]
Sb 0.000 0.500 0.250 [4 per cell]
Pb 0.000 0.000 0.363 [4 per cell]

=====

Entry 11:
The following is a DFT calculation (PBEsol) of MgCu2SbBr after structural relaxation.

Summary:
As for the formation energy (no corrections): 0.50 eV per atom.

Cell lengths 4.583, 4.583, 5.137 Å; angles 90.00, 90.00, 90.00 degrees
Space group P4/mmm (No. 123)
One atom of each set of equivalent atoms:
Mg 0.000 0.000 0.000 [1 per cell]
Cu 0.000 0.500 0.500 [2 per cell]
Sb 0.500 0.500 0.000 [1 per cell]
Br 0.000 0.000 0.500 [1 per cell]

=====

Entry 12:
The following is a DFT calculation (PBEsol) of YScMo2 after structural relaxation.

Summary:
The formation energy comes out at 1.8 eV per formula unit. The calculation puts the energy above the most stable polymorph in this dataset at 139 kJ/mol of formula units.

Cell lengths 5.771, 9.455, 2.882 Å; angles 90.00, 108.56, 90.00 degrees
Space group C2/m (No. 12)
One atom of each set of equivalent atoms:
Y 0.000 0.000 0.000 [2 per cell]
Sc 0.000 0.500 0.000 [2 per cell]
Mo 0.250 0.250 0.500 [4 per cell]

=====

Entry 13:
The following is a DFT calculation (PBEsol) of LaSb2Rh after structural relaxation.

Summary:
As for the formation energy (no corrections): -0.55 eV per atom.

Cell lengths 3.383, 5.578, 9.951 Å; angles 90.00, 90.00, 90.00 degrees
Space group Immm (No. 71)
One atom of each set of equivalent atoms:
La 0.000 0.000 0.000 [2 per cell]
Sb 0.000 0.500 0.205 [4 per cell]
Rh 0.000 0.000 0.500 [2 per cell]

=====

Entry 14:
The following is a DFT calculation (PBEsol) of CaPSe2 after structural relaxation.

Summary:
As for the formation energy (no corrections): -0.84 eV per atom.

Cell lengths 4.142, 4.282, 5.640 Å; angles 90.00, 109.38, 90.00 degrees
Space group Pm (No. 6)
One atom of each set of equivalent atoms:
Ca 0.000 0.000 0.000 [1 per cell]
P 0.502 0.500 0.325 [1 per cell]
Se 0.462 0.500 0.902 [1 per cell]
Se 0.779 0.000 0.440 [1 per cell]

=====

Entry 15:
The following is a DFT calculation (PBEsol) of Tm5Ge4 after structural relaxation.

Summary:
The formation energy comes out at -8.1 eV per formula unit.

Cell lengths 7.430, 14.276, 7.509 Å; angles 90.00, 90.00, 90.00 degrees
Space group Pnma (No. 62)
One atom of each set of equivalent atoms:
Tm 0.024 0.100 0.177 [8 per cell]
Tm 0.125 0.619 0.338 [8 per cell]
Tm 0.210 0.250 0.501 [4 per cell]
Ge 0.077 0.250 0.882 [4 per cell]
Ge 0.169 0.750 0.639 [4 per cell]
Ge 0.215 0.043 0.534 [8 per cell]

=====

Entry 16:
The following is a DFT calculation (PBEsol) of KTi3P after structural relaxation.

Summary:
The formation energy comes out at 9.3 eV per formula unit.

Cell lengths 4.331, 4.331, 4.331 Å; angles 90.00, 90.00, 90.00 degrees
Space group Pm-3m (No. 221)
One atom of each set of equivalent atoms:
K 0.000 0.000 0.000 [1 per cell]
Ti 0.000 0.000 0.500 [3 per cell]
P 0.500 0.500 0.500 [1 per cell]

=====

Entry 17:
The following is a DFT calculation (PBEsol) of Y5Mn3Ni3O18 after structural relaxation.

Summary:
As for the formation energy (no corrections): -2.27 eV per atom.

Cell lengths 7.353, 5.371, 17.088 Å; angles 90.00, 115.30, 90.00 degrees
Space group Pc (No. 7)
One atom of each set of equivalent atoms:
Y 0.000 0.170 0.000 [2 per cell]
Y 0.175 0.308 0.677 [2 per cell]
Y 0.329 0.192 0.336 [2 per cell]
Y 0.653 0.181 0.661 [2 per cell]
Y 0.837 0.320 0.342 [2 per cell]
Mn 0.263 0.275 0.505 [2 per cell]
Mn 0.581 0.248 0.843 [2 per cell]
Mn 0.905 0.253 0.165 [2 per cell]
Ni 0.085 0.246 0.839 [2 per cell]
Ni 0.416 0.250 0.168 [2 per cell]
Ni 0.747 0.268 0.506 [2 per cell]
O 0.026 0.239 0.533 [2 per cell]
O 0.032 0.036 0.739 [2 per cell]
O 0.062 0.451 0.271 [2 per cell]
O 0.105 0.062 0.405 [2 per cell]
O 0.119 0.455 0.935 [2 per cell]
O 0.134 0.275 0.140 [2 per cell]
O 0.348 0.015 0.071 [2 per cell]
O 0.360 0.221 0.863 [2 per cell]
O 0.387 0.442 0.610 [2 per cell]
O 0.438 0.039 0.740 [2 per cell]
O 0.470 0.289 0.476 [2 per cell]
O 0.473 0.461 0.275 [2 per cell]
O 0.696 0.229 0.200 [2 per cell]
O 0.697 0.056 0.405 [2 per cell]
O 0.742 0.448 0.934 [2 per cell]
O 0.782 0.042 0.075 [2 per cell]
O 0.797 0.262 0.805 [2 per cell]
O 0.826 0.438 0.612 [2 per cell]

=====

Entry 18:
The following is a DFT calculation (PBEsol) of MgNiI3 after structural relaxation.

Summary:
As for the formation energy (no corrections): -0.09 eV per atom.

Cell lengths 5.200, 5.200, 5.200 Å; angles 90.00, 90.00, 90.00 degrees
Space group Pm-3m (No. 221)
One atom of each set of equivalent atoms:
Mg 0.000 0.000 0.000 [1 per cell]
Ni 0.500 0.500 0.500 [1 per cell]
I 0.000 0.500 0.500 [3 per cell]

=====

Entry 19:
The following is a DFT calculation (PBEsol) of ZnRhC3 after structural relaxation.

Summary:
The formation energy comes out at 14.5 eV per formula unit.

Cell lengths 3.805, 3.805, 3.805 Å; angles 90.00, 90.00, 90.00 degrees
Space group Pm-3m (No. 221)
One atom of each set of equivalent atoms:
Zn 0.000 0.000 0.000 [1 per cell]
Rh 0.500 0.500 0.500 [1 per cell]
C 0.000 0.000 0.500 [3 per cell]

=====

Entry 20:
The following is a DFT calculation (PBEsol) of TiBi8WBr2O16 after structural relaxation.

Summary:
As for the formation energy (no corrections): -1.60 eV per atom.

Cell lengths 29.192, 5.499, 5.468 Å; angles 90.00, 100.56, 90.00 degrees
Space group C2 (No. 5)
One atom of each set of equivalent atoms:
Ti 0.000 0.000 0.000 [2 per cell]
Bi 0.089 0.035 0.614 [4 per cell]
Bi 0.089 0.547 0.076 [4 per cell]
Bi 0.178 0.003 0.188 [4 per cell]
Bi 0.179 0.499 0.672 [4 per cell]
W 0.000 0.483 0.500 [2 per cell]
Br 0.250 0.496 0.248 [4 per cell]
O 0.013 0.207 0.270 [4 per cell]
O 0.013 0.699 0.269 [4 per cell]
O 0.064 0.434 0.652 [4 per cell]
O 0.064 0.930 0.977 [4 per cell]
O 0.139 0.250 0.395 [4 per cell]
O 0.139 0.750 0.389 [4 per cell]
O 0.142 0.243 0.893 [4 per cell]
O 0.142 0.743 0.892 [4 per cell]